Entry from Alexandria: an optimized crystal structure of BaGeOsCl2 (PBE).

a = 5.7277 Å, b = 5.7277 Å, c = 7.1036 Å
α = 90.00°, β = 90.00°, γ = 90.00°
Sites, in units of the cell vectors:
Ba  0.0000  0.0000  0.0000
Os  0.0000  0.0000  0.5000
Ge  0.5000  0.5000  0.5000
Cl  0.5000  0.0000  0.0000
Cl  0.0000  0.5000  0.0000

Computed properties:
Space group ... P4/mmm
Raw formation energy ... 728 meV per atom
Electronic total energy ... -3.56 eV/atom